No. 1
A relaxed AcY2Ho4 crystal. Source: the Alexandria database, functional PBE.

Uncorrected energy: -4.997 eV/atom
Total magnetization: 0.0 Bohr magnetons per cell
Energy above the most stable polymorph in this dataset: 0.0 kJ per mole of atoms

abc: 7.146 8.632 8.926
angles: 114.34 101.32 101.69
Space group P1 (No. 1)
One atom of each set of equivalent atoms:
Ac 0.000 0.000 0.000 [1 per cell]
Ac 0.412 0.455 0.160 [1 per cell]
Y 0.211 0.121 0.703 [1 per cell]
Y 0.329 0.719 0.573 [1 per cell]
Y 0.691 0.296 0.434 [1 per cell]
Y 0.913 0.458 0.166 [1 per cell]
Ho 0.101 0.558 0.832 [1 per cell]
Ho 0.190 0.297 0.439 [1 per cell]
Ho 0.305 0.896 0.299 [1 per cell]
Ho 0.504 0.998 0.002 [1 per cell]
Ho 0.603 0.559 0.831 [1 per cell]
Ho 0.709 0.120 0.705 [1 per cell]
Ho 0.806 0.893 0.301 [1 per cell]
Ho 0.830 0.716 0.569 [1 per cell]

***

No. 2
A relaxed Ac12Y5Ho crystal. Source: the Alexandria database, functional PBE.

Uncorrected energy: -4.738 eV/atom
Total magnetization: 0.0 Bohr magnetons per cell

abc: 20.071 11.489 6.684
angles: 90.00 109.08 90.00
Space group C2/m (No. 12)
One atom of each set of equivalent atoms:
Ac 0.000 0.165 0.000 [4 per cell]
Ac 0.000 0.334 0.500 [4 per cell]
Ac 0.166 0.165 0.500 [8 per cell]
Ac 0.167 0.335 0.000 [8 per cell]
Y 0.000 0.500 0.000 [2 per cell]
Y 0.166 0.000 0.999 [4 per cell]
Y 0.167 0.500 0.500 [4 per cell]
Ho 0.000 0.000 0.500 [2 per cell]

***

No. 3
A relaxed Ac2YHo2 crystal. Source: the Alexandria database, functional PBE.

Uncorrected energy: -4.700 eV/atom
Total magnetization: 0.0 Bohr magnetons per cell

abc: 6.576 7.064 9.594
angles: 107.99 90.09 117.72
Space group P-1 (No. 2)
One atom of each set of equivalent atoms:
Ac 0.032 0.391 0.152 [2 per cell]
Ac 0.357 0.391 0.649 [2 per cell]
Y 0.432 0.191 0.947 [2 per cell]
Ho 0.176 0.000 0.251 [2 per cell]
Ho 0.242 0.810 0.551 [2 per cell]

***

No. 4
A relaxed Ac2YHo crystal. Source: the Alexandria database, functional PBE.

Uncorrected energy: -4.743 eV/atom
Total magnetization: 0.0 Bohr magnetons per cell
Energy above the most stable polymorph in this dataset: 2.5 kJ per mole of atoms

abc: 3.8009 3.8009 36.2254
angles: 90.00 90.00 120.00
Space group R3m (No. 160, hexagonal axes)
One atom of each set of equivalent atoms:
Ac 0.0000 0.0000 0.0000 [3 per cell]
Ac 0.0000 0.0000 0.1674 [3 per cell]
Y 0.0000 0.0000 0.7512 [3 per cell]
Ho 0.0000 0.0000 0.5826 [3 per cell]

***

No. 5
A relaxed AcY12Ho6 crystal. Source: the Alexandria database, functional PBE.

Uncorrected energy: -5.588 eV/atom
Total magnetization: 0.0 Bohr magnetons per cell
Energy above the most stable polymorph in this dataset: 0.0 kJ per mole of atoms

abc: 11.9483 11.9483 15.3666
angles: 90.00 90.00 120.00
Space group R-3 (No. 148, hexagonal axes)
One atom of each set of equivalent atoms:
Ac 0.0000 0.0000 0.0000 [3 per cell]
Y 0.0189 0.8337 0.1920 [18 per cell]
Y 0.0379 0.8496 0.4155 [18 per cell]
Ho 0.0061 0.4205 0.6774 [18 per cell]

***

No. 6
A relaxed Ac3Y8Ho crystal. Source: the Alexandria database, functional PBE.

Uncorrected energy: -5.459 eV/atom
Total magnetization: 0.0 Bohr magnetons per cell

abc: 6.574 11.678 11.828
angles: 90.00 90.00 90.00
Space group Immm (No. 71)
One atom of each set of equivalent atoms:
Ac 0.000 0.000 0.000 [2 per cell]
Ac 0.000 0.244 0.500 [4 per cell]
Y 0.000 0.252 0.172 [8 per cell]
Y 0.246 0.000 0.262 [8 per cell]
Ho 0.000 0.500 0.000 [2 per cell]

***

No. 7
A relaxed Ac15Y4Ho crystal. Source: the Alexandria database, functional PBE.

Uncorrected energy: -4.575 eV/atom
Total magnetization: 0.0 Bohr magnetons per cell

abc: 5.503 5.503 27.367
angles: 90.00 90.00 90.00
Space group P4/mmm (No. 123)
One atom of each set of equivalent atoms:
Ac 0.000 0.000 0.000 [1 per cell]
Ac 0.000 0.000 0.200 [2 per cell]
Ac 0.000 0.000 0.400 [2 per cell]
Ac 0.000 0.500 0.100 [4 per cell]
Ac 0.000 0.500 0.300 [4 per cell]
Ac 0.000 0.500 0.500 [2 per cell]
Y 0.500 0.500 0.200 [2 per cell]
Y 0.500 0.500 0.400 [2 per cell]
Ho 0.500 0.500 0.000 [1 per cell]

***

No. 8
A relaxed AcY2Ho crystal. Source: the Alexandria database, functional PBE.

Uncorrected energy: -5.348 eV/atom
Total magnetization: 0.0 Bohr magnetons per cell
Energy above the most stable polymorph in this dataset: 0.9 kJ per mole of atoms

abc: 3.6943 3.6943 35.3076
angles: 90.00 90.00 120.00
Space group R-3m (No. 166, hexagonal axes)
One atom of each set of equivalent atoms:
Ac 0.0000 0.0000 0.0000 [3 per cell]
Y 0.0000 0.0000 0.2468 [6 per cell]
Ho 0.0000 0.0000 0.5000 [3 per cell]

***

No. 9
A relaxed Ac8YHo4 crystal. Source: the Alexandria database, functional PBE.

Uncorrected energy: -4.047 eV/atom
Total magnetization: 0.0 Bohr magnetons per cell

abc: 11.7490 11.7490 14.3747
angles: 90.00 90.00 120.00
Space group R-3m (No. 166, hexagonal axes)
One atom of each set of equivalent atoms:
Ac 0.0000 0.0000 0.2423 [6 per cell]
Ac 0.0101 0.5051 0.7473 [18 per cell]
Y 0.0000 0.0000 0.5000 [3 per cell]
Ho 0.0000 0.0000 0.0000 [3 per cell]
Ho 0.0000 0.5000 0.0000 [9 per cell]

***

No. 10
A relaxed AcY12Ho6 crystal. Source: the Alexandria database, functional PBE.

Uncorrected energy: -5.537 eV/atom
Total magnetization: 0.0 Bohr magnetons per cell
Energy above the most stable polymorph in this dataset: 4.9 kJ per mole of atoms

abc: 13.3624 13.3624 12.4706
angles: 90.00 90.00 120.00
Space group R-3m (No. 166, hexagonal axes)
One atom of each set of equivalent atoms:
Ac 0.0000 0.0000 0.0000 [3 per cell]
Y 0.0000 0.2595 0.5000 [18 per cell]
Y 0.0909 0.1817 0.2621 [18 per cell]
Ho 0.0331 0.5166 0.6229 [18 per cell]

***

No. 11
A relaxed AcYHo2 crystal. Source: the Alexandria database, functional PBE.

Uncorrected energy: -4.864 eV/atom
Total magnetization: 0.0 Bohr magnetons per cell
Energy above the most stable polymorph in this dataset: 0.7 kJ per mole of atoms

abc: 3.6852 3.6852 35.3420
angles: 90.00 90.00 120.00
Space group R3m (No. 160, hexagonal axes)
One atom of each set of equivalent atoms:
Ac 0.0000 0.0000 0.0000 [3 per cell]
Y 0.0000 0.0000 0.1658 [3 per cell]
Ho 0.0000 0.0000 0.5791 [3 per cell]
Ho 0.0000 0.0000 0.7533 [3 per cell]

***

No. 12
A relaxed AcYHo2 crystal. Source: the Alexandria database, functional PBE.

Uncorrected energy: -4.839 eV/atom
Total magnetization: 0.0 Bohr magnetons per cell
Energy above the most stable polymorph in this dataset: 3.0 kJ per mole of atoms

abc: 3.616 5.555 14.074
angles: 90.00 97.32 90.00
Space group P2_1/m (No. 11)
One atom of each set of equivalent atoms:
Ac 0.041 0.250 0.082 [2 per cell]
Y 0.229 0.750 0.457 [2 per cell]
Ho 0.162 0.250 0.323 [2 per cell]
Ho 0.389 0.250 0.778 [2 per cell]

***

No. 13
A relaxed Ac2Y3Ho2 crystal. Source: the Alexandria database, functional PBE.

Uncorrected energy: -5.036 eV/atom
Total magnetization: 0.0 Bohr magnetons per cell

abc: 6.458 3.668 10.966
angles: 90.00 90.10 90.00
Space group P2/m (No. 10)
One atom of each set of equivalent atoms:
Ac 0.001 0.000 0.188 [2 per cell]
Y 0.250 0.000 0.499 [2 per cell]
Y 0.500 0.000 0.000 [1 per cell]
Ho 0.498 0.500 0.728 [2 per cell]

***

No. 14
A relaxed AcY2Ho6 crystal. Source: the Alexandria database, functional PBE.

Uncorrected energy: -4.865 eV/atom
Total magnetization: 1.7 Bohr magnetons per cell
Energy above the most stable polymorph in this dataset: 0.0 kJ per mole of atoms

abc: 3.6276 3.6276 26.3443
angles: 90.00 90.00 120.00
Space group P-6m2 (No. 187)
One atom of each set of equivalent atoms:
Ac 0.0000 0.0000 0.0000 [1 per cell]
Y 0.3333 0.6667 0.3309 [2 per cell]
Ho 0.0000 0.0000 0.2227 [2 per cell]
Ho 0.0000 0.0000 0.4363 [2 per cell]
Ho 0.3333 0.6667 0.1176 [2 per cell]

***

No. 15
A relaxed AcY5Ho2 crystal. Source: the Alexandria database, functional PBE.

Uncorrected energy: -5.658 eV/atom
Total magnetization: 0.0 Bohr magnetons per cell
Energy above the most stable polymorph in this dataset: 2.0 kJ per mole of atoms

abc: 7.238 14.486 5.086
angles: 90.00 90.00 90.00
Space group Pbam (No. 55)
One atom of each set of equivalent atoms:
Ac 0.000 0.000 0.000 [2 per cell]
Y 0.000 0.253 0.000 [4 per cell]
Y 0.000 0.500 0.000 [2 per cell]
Y 0.247 0.372 0.500 [4 per cell]
Ho 0.247 0.628 0.500 [4 per cell]

***

No. 16
A relaxed AcY3Ho2 crystal. Source: the Alexandria database, functional PBE.

Uncorrected energy: -5.341 eV/atom
Total magnetization: 0.0 Bohr magnetons per cell
Energy above the most stable polymorph in this dataset: 0.0 kJ per mole of atoms

abc: 9.161 9.979 9.074
angles: 90.00 102.28 90.00
Space group C2/c (No. 15)
One atom of each set of equivalent atoms:
Ac 0.000 0.074 0.250 [4 per cell]
Y 0.000 0.414 0.250 [4 per cell]
Y 0.234 0.412 0.992 [8 per cell]
Ho 0.125 0.255 0.626 [8 per cell]

***

No. 17
A relaxed Ac2Y5Ho5 crystal. Source: the Alexandria database, functional PBE.

Uncorrected energy: -5.236 eV/atom
Total magnetization: 0.0 Bohr magnetons per cell

abc: 15.409 5.124 11.446
angles: 90.00 116.68 90.00
Space group C2/m (No. 12)
One atom of each set of equivalent atoms:
Ac 0.083 0.000 0.248 [4 per cell]
Y 0.000 0.500 0.000 [2 per cell]
Y 0.087 0.500 0.751 [4 per cell]
Y 0.165 0.500 0.502 [4 per cell]
Ho 0.000 0.000 0.500 [2 per cell]
Ho 0.171 0.000 0.001 [4 per cell]
Ho 0.246 0.000 0.750 [4 per cell]

***

No. 18
A relaxed AcY2Ho7 crystal. Source: the Alexandria database, functional PBE.

Uncorrected energy: -4.870 eV/atom
Total magnetization: 0.0 Bohr magnetons per cell
Energy above the most stable polymorph in this dataset: 0.0 kJ per mole of atoms

abc: 6.200 7.159 8.004
angles: 77.08 75.04 73.35
Space group P-1 (No. 2)
One atom of each set of equivalent atoms:
Ac 0.000 0.000 0.000 [1 per cell]
Y 0.203 0.797 0.597 [2 per cell]
Ho 0.000 0.500 0.000 [1 per cell]
Ho 0.200 0.304 0.597 [2 per cell]
Ho 0.399 0.102 0.203 [2 per cell]
Ho 0.403 0.597 0.202 [2 per cell]

***

No. 19
A relaxed Ac5Y4Ho crystal. Source: the Alexandria database, functional PBE.

Uncorrected energy: -5.051 eV/atom
Total magnetization: 0.0 Bohr magnetons per cell

abc: 3.896 3.896 24.998
angles: 90.00 90.00 90.00
Space group P4/mmm (No. 123)
One atom of each set of equivalent atoms:
Ac 0.000 0.000 0.000 [1 per cell]
Ac 0.000 0.000 0.201 [2 per cell]
Ac 0.000 0.000 0.401 [2 per cell]
Y 0.500 0.500 0.100 [2 per cell]
Y 0.500 0.500 0.301 [2 per cell]
Ho 0.500 0.500 0.500 [1 per cell]

***

No. 20
A relaxed AcY2Ho crystal. Source: the Alexandria database, functional PBE.

Uncorrected energy: -5.344 eV/atom
Total magnetization: 0.0 Bohr magnetons per cell
Energy above the most stable polymorph in this dataset: 1.3 kJ per mole of atoms

abc: 5.183 5.183 5.186
angles: 90.00 90.00 90.00
Space group P4/mmm (No. 123)
One atom of each set of equivalent atoms:
Ac 0.000 0.000 0.000 [1 per cell]
Y 0.000 0.500 0.500 [2 per cell]
Ho 0.500 0.500 0.000 [1 per cell]

***

No. 21
A relaxed Ac2Y7Ho4 crystal. Source: the Alexandria database, functional PBE.

Uncorrected energy: -5.288 eV/atom
Total magnetization: 0.0 Bohr magnetons per cell

abc: 6.2023 6.2023 13.4180
angles: 90.00 90.00 120.00
Space group P-31m (No. 162)
One atom of each set of equivalent atoms:
Ac 0.3333 0.6667 0.0000 [2 per cell]
Y 0.0000 0.0000 0.0000 [1 per cell]
Y 0.0000 0.3550 0.7779 [6 per cell]
Ho 0.0000 0.0000 0.3964 [2 per cell]
Ho 0.3333 0.6667 0.5000 [2 per cell]